Here is an optimized crystal structure of CaMo2Cl from Alexandria via LeMat-Bulk. Energies are from PBE.

- spin magnetization (μB per formula unit) = 0.000
- formation energy (no corrections) (eV/atom) = 0.24
- electronic total energy (Ha/atom) = -0.2255
- symmetry = No. 123

Cell: 3.641 3.641 6.776 Å, 90.00 90.00 90.00°
Atoms (fractional coordinates):
Ca: 0.000 0.000 0.000
Mo: 0.000 0.500 0.500
Mo: 0.500 0.000 0.500
Cl: 0.500 0.500 0.000